Below is an optimized crystal structure of TiAsC2F, with properties calculated at the PBE-GGA level.

CIF file:
```
data_TiAsC2F
_symmetry_space_group_name_H-M 'P 4/m m m'
_symmetry_Int_Tables_number 123
_symmetry_space_group_name_Hall '-P 4 2'
_cell_length_a 3.935
_cell_length_b 3.935
_cell_length_c 4.014
_cell_angle_alpha 90.00
_cell_angle_beta 90.00
_cell_angle_gamma 90.00
loop_
_atom_site_label
_atom_site_type_symbol
_atom_site_fract_x
_atom_site_fract_y
_atom_site_fract_z
Ti1 Ti 0.000 0.000 0.000
As1 As 0.500 0.500 0.000
C1 C 0.000 0.500 0.500
F1 F 0.500 0.500 0.500
```

Calculated values
calculated volume: 12.4 Å³ per atom
electronic total energy: -4.880 eV/atom
calculated density: 4.43 g/cm³